A plane-wave DFT calculation with PBE was carried out for a relaxed YBe crystal.

a b c (Å): 3.495 4.278 5.810
angles (deg): 90.00 90.00 90.00
Space group Pmmn (No. 59, origin choice 2)
Unique sites:
1 Y 0.250 0.250 0.195 x2
2 Be 0.250 0.250 0.673 x2

Summary:
The value obtained for the formation energy is 0.8 eV per formula unit. The calculation puts the density at 3.74 g cm⁻³. The calculation puts the energy above the lowest structure with this stoichiometry at 0.3778 eV per atom.